ScTa2Al2 | PBE-GGA | relaxed

Computed properties:
The energy of formation is -0.1681 eV per atom. The energy above the lowest structure with this stoichiometry is 0.0 meV/atom. As for the theoretical density: 8.492 g/cm³.

The structure in extended XYZ format:
```
10
Lattice="-5.540 4.870 0.731 0.328 -0.734 7.368 2.175 2.452 0.147" Properties=species:S:1:pos:R:3 pbc="T T T"
Sc 0.000 0.000 0.000
Sc -2.606 2.068 4.050
Al -1.804 1.195 6.742
Al -4.658 3.817 5.228
Al -3.408 2.941 1.357
Al -0.554 0.319 2.872
Ta 0.347 1.577 5.163
Ta -2.373 3.899 6.656
Ta -3.384 5.011 3.083
Ta -0.664 2.688 1.591
```


ScTaAl2 | PBE-GGA | relaxed

Computed properties:
The energy of formation is -0.1044 eV per atom. As for the theoretical density: 6.396 g/cm³.

The structure in extended XYZ format:
```
4
Lattice="2.934 0.000 0.000 0.000 2.934 0.000 0.000 0.000 8.440" Properties=species:S:1:pos:R:3 pbc="T T T"
Sc 0.000 0.000 4.184
Al 0.000 0.000 0.017
Al 1.467 1.467 1.956
Ta 1.467 1.467 6.503
```


ScTaAl2 | PBE-GGA | relaxed

Computed properties:
The energy of formation is -0.2296 eV per atom. As for the theoretical density: 6.525 g/cm³.

The structure in extended XYZ format:
```
4
Lattice="4.738 0.000 0.000 0.000 2.955 -0.026 0.000 0.460 5.083" Properties=species:S:1:pos:R:3 pbc="T T T"
Sc 0.000 1.883 2.295
Al 0.000 0.807 4.872
Al 2.369 0.472 1.441
Ta 2.369 2.420 4.059
```


Sc2TaAl | PBE-GGA | relaxed

Computed properties:
The energy of formation is -0.0994 eV per atom. As for the theoretical density: 6.319 g/cm³.

The structure in extended XYZ format:
```
4
Lattice="5.287 0.000 0.000 1.887 4.939 0.000 -3.587 -2.469 2.998" Properties=species:S:1:pos:R:3 pbc="T T T"
Sc 0.000 0.000 0.000
Sc 0.944 2.469 1.499
Al 2.643 0.000 1.499
Ta 3.587 2.469 0.000
```